Record 1
Compound: NaAg2Ge2
Source: Alexandria via LeMat-Bulk
Functional: GGA-PBE
Structure: relaxed

Cell lengths 4.534, 4.534, 10.418 Å; angles 90.00, 90.00, 90.00 degrees
Space group I4/mmm (No. 139)
Inequivalent atoms, fractional coordinates:
1 Na 0.000 0.000 0.000 (multiplicity 2)
2 Ag 0.000 0.500 0.250 (multiplicity 4)
3 Ge 0.000 0.000 0.383 (multiplicity 4)

Its formation energy from the elements is 0.008 eV per atom. The distance to the lowest polymorph of the same formula comes out at 6 meV per atom. As for the spin magnetization: 0.00 μB/f.u. As for the volume: 21.41 Å³/atom.

Record 2
Compound: Na2Ag2Ge
Source: Alexandria via LeMat-Bulk
Functional: GGA-PBE
Structure: relaxed

Cell lengths 3.768, 3.768, 17.544 Å; angles 90.00, 90.00, 90.00 degrees
Space group I4/mmm (No. 139)
Inequivalent atoms, fractional coordinates:
1 Na 0.000 0.000 0.101 (multiplicity 4)
2 Ag 0.000 0.500 0.250 (multiplicity 4)
3 Ge 0.000 0.000 0.500 (multiplicity 2)

Its formation energy from the elements is 0.181 eV per atom. The distance to the lowest polymorph of the same formula comes out at 215 meV per atom. As for the spin magnetization: 0.00 μB/f.u. As for the volume: 24.91 Å³/atom.

Record 3
Compound: Na2Ag2Ge3
Source: Alexandria via LeMat-Bulk
Functional: GGA-PBE
Structure: relaxed

Cell lengths 10.685, 4.531, 6.871 Å; angles 90.00, 117.03, 90.00 degrees
Space group C2/m (No. 12)
Inequivalent atoms, fractional coordinates:
1 Na 0.165 0.000 0.285 (multiplicity 4)
2 Ag 0.124 0.000 0.733 (multiplicity 4)
3 Ge 0.000 0.500 0.500 (multiplicity 2)
4 Ge 0.101 0.500 0.944 (multiplicity 4)

Its formation energy from the elements is -0.001 eV per atom. As for the spin magnetization: 0.00 μB/f.u. As for the volume: 21.16 Å³/atom.